(1)
This record from Alexandria describes crystalline Tc2NiHg at its relaxed geometry. The functional is PBE-GGA.

Calculated formation energy, eV per atom: 0.55
Crystal system: orthorhombic
Calculated density, g/cm3: 12.40

Cell: 5.1307 8.5589 2.7763 Å, 90.00 90.00 90.00°
Closest atoms and distances in Å follow each position.
Space group Cmmm (No. 65)
Unique sites:
Tc 0.2500 0.2500 0.0000  4 Tc 2.57-2.78, 4 Hg 2.85, 4 Ni 2.85
Ni 0.0000 0.0000 0.5000  2 Hg 2.57, 2 Ni 2.78, 8 Tc 2.85
Hg 0.0000 0.5000 0.5000  2 Ni 2.57, 2 Hg 2.78, 8 Tc 2.85

(2)
This record from Alexandria describes crystalline Tc2NiHg at its relaxed geometry. The functional is PBE-GGA.

Calculated formation energy, eV per atom: 0.40
Crystal system: orthorhombic
Calculated density, g/cm3: 12.23

Cell: 2.8198 4.0112 5.4651 Å, 90.00 90.00 90.00°
Closest atoms and distances in Å follow each position.
Space group Pmmm (No. 47)
Unique sites:
Tc 0.0000 0.0000 0.2062  1 Tc 2.25
Ni 0.5000 0.5000 0.0000  8 Tc 2.70, 2 Hg 2.73, 2 Ni 2.82
Hg 0.5000 0.5000 0.5000  2 Ni 2.73, 2 Hg 2.82, 8 Tc 2.93

(3)
This record from Alexandria describes crystalline Tc2NiHg at its relaxed geometry. The functional is PBE-GGA.

Calculated formation energy, eV per atom: 0.49
Crystal system: trigonal
Calculated density, g/cm3: 12.39

Cell: 2.7875 2.7875 27.2076 Å, 90.00 90.00 120.00°
Closest atoms and distances in Å follow each position.
Space group R-3m (No. 166, hexagonal axes)
Unique sites:
Tc 0.0000 0.0000 0.2408  3 Ni 2.58, 6 Tc 2.79
Ni 0.0000 0.0000 0.5000  6 Tc 2.58, 6 Ni 2.79
Hg 0.0000 0.0000 0.0000  6 Hg 2.79, 6 Tc 2.99

(4)
This record from Alexandria describes crystalline TcNi3Hg at its relaxed geometry. The functional is PBE-GGA.

Calculated formation energy, eV per atom: 1.23
Crystal system: cubic
Calculated density, g/cm3: 8.61
Polymorph energy (0 for the lowest one), eV per atom: 0.0000

Cell: 4.5062 4.5062 4.5062 Å, 90.00 90.00 90.00°
Closest atoms and distances in Å follow each position.
Space group Pm-3m (No. 221)
Unique sites:
Tc 0.0000 0.0000 0.0000  6 Ni 2.25
Ni 0.0000 0.0000 0.5000  2 Tc 2.25
Hg 0.5000 0.5000 0.5000  12 Ni 3.19

(5)
This record from Alexandria describes crystalline Tc2NiHg at its relaxed geometry. The functional is PBE-GGA.

Calculated formation energy, eV per atom: 0.42
Crystal system: orthorhombic
Calculated density, g/cm3: 12.61

Cell: 3.9028 3.9626 7.7520 Å, 90.00 90.00 90.00°
Closest atoms and distances in Å follow each position.
Space group Imm2 (No. 44)
Unique sites:
Tc 0.0000 0.0000 0.0000  4 Tc 2.71-2.81, 4 Hg 2.76, 4 Ni 2.78
Tc 0.0000 0.5000 0.2568  4 Tc 2.71-2.81, 4 Ni 2.75-2.77, 4 Hg 2.78
Ni 0.0000 0.0000 0.5028  8 Tc 2.75-2.78, 4 Hg 2.75-2.77
Hg 0.0000 0.5000 0.7522  4 Ni 2.75-2.77, 8 Tc 2.76-2.78

(6)
This record from Alexandria describes crystalline TcNiHg at its relaxed geometry. The functional is PBE-GGA.

Calculated formation energy, eV per atom: 0.41
Crystal system: trigonal
Calculated density, g/cm3: 12.68
Polymorph energy (0 for the lowest one), eV per atom: 0.0680

Cell: 2.8270 2.8270 6.7616 Å, 90.00 90.00 120.00°
Closest atoms and distances in Å follow each position.
Space group P3m1 (No. 156)
Unique sites:
Tc 0.0000 0.0000 0.0000  3 Ni 2.52
Ni 0.3333 0.6667 0.7165  3 Tc 2.52, 3 Hg 2.82
Hg 0.6667 0.3333 0.3765  3 Ni 2.82, 6 Hg 2.83, 3 Tc 3.02

(7)
This record from Alexandria describes crystalline TcNi4Hg at its relaxed geometry. The functional is PBE-GGA.

Calculated formation energy, eV per atom: 0.23
Crystal system: cubic
Calculated density, g/cm3: 11.25

Cell: 6.8034 6.8034 6.8034 Å, 90.00 90.00 90.00°
Closest atoms and distances in Å follow each position.
Space group F-43m (No. 216)
Unique sites:
Tc 0.0000 0.0000 0.0000  12 Ni 2.82, 4 Hg 2.95
Ni 0.1253 0.1253 0.3747  6 Ni 2.40-2.41
Hg 0.2500 0.2500 0.7500  12 Ni 2.82, 4 Tc 2.95

(8)
This record from Alexandria describes crystalline TcNiHg3 at its relaxed geometry. The functional is PBE-GGA.

Calculated formation energy, eV per atom: 1.30
Crystal system: cubic
Calculated density, g/cm3: 8.54
Polymorph energy (0 for the lowest one), eV per atom: 0.3121

Cell: 5.2832 5.2832 5.2832 Å, 90.00 90.00 90.00°
Closest atoms and distances in Å follow each position.
Space group Pm-3m (No. 221)
Unique sites:
Tc 0.0000 0.0000 0.0000  6 Hg 2.64
Ni 0.5000 0.5000 0.5000  12 Hg 3.74
Hg 0.0000 0.0000 0.5000  2 Tc 2.64

(9)
This record from Alexandria describes crystalline TcNiHg at its relaxed geometry. The functional is PBE-GGA.

Calculated formation energy, eV per atom: 0.70
Crystal system: cubic
Calculated density, g/cm3: 11.55
Polymorph energy (0 for the lowest one), eV per atom: 0.3548

Cell: 5.9000 5.9000 5.9000 Å, 90.00 90.00 90.00°
Closest atoms and distances in Å follow each position.
Space group F-43m (No. 216)
Unique sites:
Tc 0.0000 0.0000 0.0000  4 Ni 2.55
Ni 0.2500 0.2500 0.2500  4 Hg 2.55, 4 Tc 2.55
Hg 0.0000 0.0000 0.5000  4 Ni 2.55

(10)
This record from Alexandria describes crystalline TcNiHg at its relaxed geometry. The functional is PBE-GGA.

Calculated formation energy, eV per atom: 0.34
Crystal system: tetragonal
Calculated density, g/cm3: 12.82
Polymorph energy (0 for the lowest one), eV per atom: 0.0000

Cell: 2.8422 2.8422 11.4577 Å, 90.00 90.00 90.00°
Closest atoms and distances in Å follow each position.
Space group I4mm (No. 107)
Unique sites:
Tc 0.0000 0.0000 0.0000  4 Ni 2.51
Ni 0.0000 0.0000 0.3685  4 Tc 2.51
Hg 0.0000 0.0000 0.6934  4 Ni 2.84, 4 Hg 2.84, 4 Tc 2.99

(11)
This record from Alexandria describes crystalline Tc2Ni2Hg at its relaxed geometry. The functional is PBE-GGA.

Calculated formation energy, eV per atom: 0.37
Crystal system: tetragonal
Calculated density, g/cm3: 11.54
Polymorph energy (0 for the lowest one), eV per atom: 0.0000

Cell: 7.4345 7.4345 2.6764 Å, 90.00 90.00 90.00°
Closest atoms and distances in Å follow each position.
Space group P4/mbm (No. 127)
Unique sites:
Tc 0.1207 0.3793 0.0000  3 Tc 2.54-2.68, 6 Ni 2.55-2.60
Ni 0.1676 0.6676 0.5000  6 Tc 2.55-2.60, 2 Ni 2.68, 2 Hg 2.77
Hg 0.0000 0.0000 0.5000  2 Hg 2.68, 4 Ni 2.77

(12)
This record from Alexandria describes crystalline TcNiHgTe2 at its relaxed geometry. The functional is PBE-GGA.

E_form (uncorrected), eV per atom: 0.943
Crystal system: tetragonal
Calculated density, g/cm3: 7.33

Cell: 5.1190 5.1190 5.2947 Å, 90.00 90.00 90.00°
Closest atoms and distances in Å follow each position.
Space group P4/mmm (No. 123)
Unique sites:
Tc 0.0000 0.0000 0.0000  4 Te 2.56, 2 Hg 2.65
Ni 0.5000 0.5000 0.5000  4 Hg 3.62, 8 Te 3.68
Hg 0.0000 0.0000 0.5000  2 Tc 2.65
Te 0.0000 0.5000 0.0000  2 Tc 2.56

Among the records above, which one has the lowest calculated density? TcNiHgTe2

The highest calculated density belongs to which entry? number 10

What did the eleventh record say?
This record from Alexandria describes crystalline Tc2Ni2Hg at its relaxed geometry. The functional is PBE-GGA.

Calculated formation energy, eV per atom: 0.37
Crystal system: tetragonal
Calculated density, g/cm3: 11.54
Polymorph energy (0 for the lowest one), eV per atom: 0.0000

Cell: 7.4345 7.4345 2.6764 Å, 90.00 90.00 90.00°
Closest atoms and distances in Å follow each position.
Space group P4/mbm (No. 127)
Unique sites:
Tc 0.1207 0.3793 0.0000  3 Tc 2.54-2.68, 6 Ni 2.55-2.60
Ni 0.1676 0.6676 0.5000  6 Tc 2.55-2.60, 2 Ni 2.68, 2 Hg 2.77
Hg 0.0000 0.0000 0.5000  2 Hg 2.68, 4 Ni 2.77

What is the formula in the eighth record? TcNiHg3